The following is a DFT calculation (GGA-PBE) of an optimized crystal structure of AcZnAs2O6.

Cell lengths 5.5112, 5.5112, 6.5106 Å; angles 64.96, 64.96, 60.00 degrees
With the nearest neighbours (Å) after each atom.
Positions (direct):
As1 0.7288 0.7288 0.8137  3 O 1.78
As2 0.2712 0.2712 0.1863  3 O 1.78
O1 0.4706 0.7393 0.7101  1 As 1.78
O2 0.2607 0.9200 0.2899  1 As 1.78
O3 0.5294 0.2607 0.2899  1 As 1.78
O4 0.9200 0.5294 0.2899  1 As 1.78
O5 0.0800 0.4706 0.7101  1 As 1.78
O6 0.7393 0.0800 0.7101  1 As 1.78
Zn1 0.5000 0.5000 0.5000  6 O 2.18
Ac1 0.0000 0.0000 0.0000  6 O 2.60

Values from the calculation:
The total magnetization is 0.00 Bohr magnetons per cell. The density of states at the Fermi level comes out at 4.577 states/eV/f.u. As for the theoretical density: 6.0 Mg/m³. The total energy is -6.0138 eV per atom. As for the formation energy without anion corrections: -1571 meV per atom. Its space group is R-3, No. 148.